[1]
First-principles (PBE-GGA) data for CaNi after structural relaxation, as listed in Alexandria.

Properties
Energy in eV/atom: -3.89
Crystal system: tetragonal
Energy of formation from the pure elements in eV per atom: -0.003

Cell lengths 10.1446, 10.1446, 4.0734 Å; angles 90.00, 90.00, 90.00 degrees
Space group I4/mmm (No. 139)
Symmetry-distinct sites (fractional):
Ca1 0.0000 0.2638 0.0000 [8 per cell]
Ni1 0.2181 0.2181 0.5000 [8 per cell]


[2]
First-principles (PBE-GGA) data for CaNi2 after structural relaxation, as listed in Alexandria.

Properties
Energy in eV/atom: -4.71
Crystal system: cubic
Energy of formation from the pure elements in eV per atom: -0.188

Cell lengths 7.1928, 7.1928, 7.1928 Å; angles 90.00, 90.00, 90.00 degrees
Space group Fd-3m (No. 227, origin choice 2)
Symmetry-distinct sites (fractional):
Ca1 0.1250 0.1250 0.1250 [8 per cell]
Ni1 0.0000 0.0000 0.5000 [16 per cell]


[3]
First-principles (PBE-GGA) data for Ca4Ni5 after structural relaxation, as listed in Alexandria.

Properties
Energy in eV/atom: -3.99
Crystal system: tetragonal
Energy of formation from the pure elements in eV per atom: 0.113
E above lowest polymorph in meV per atom: 0.0

Cell lengths 9.2228, 9.2228, 4.2452 Å; angles 90.00, 90.00, 90.00 degrees
Space group I4/mmm (No. 139)
Symmetry-distinct sites (fractional):
Ca1 0.0000 0.2855 0.0000 [8 per cell]
Ni1 0.0000 0.0000 0.0000 [2 per cell]
Ni2 0.1341 0.1341 0.5000 [8 per cell]


> What is the energy of formation from the pure elements in the first record?

-0.003 eV per atom


> What is the formula in the first record?

CaNi